Entry 1:
This record from the Alexandria database describes a relaxed Mo2Ir2Pd crystal. The functional is GGA-PBE. Values from VASP.

Output
Its energy relative to the lowest polymorph listed for this composition is 464 meV/atom. The calculation puts the formation energy from the elements at 1.8 eV per formula unit.

Structure (Quantum ESPRESSO input):
```
&SYSTEM
  ibrav = 0, nat = 5, ntyp = 3
/
ATOMIC_SPECIES
Ir 192.22 Ir.upf
Mo 95.94 Mo.upf
Pd 106.42 Pd.upf
CELL_PARAMETERS angstrom
-1.966 -3.022 1.157
0.367 -1.553 -3.433
4.289 -4.932 0.603
ATOMIC_POSITIONS angstrom
Ir 1.929 -4.387 -1.984
Ir 0.762 -5.121 0.311
Mo 0.239 -2.827 -0.783
Mo 2.452 -6.680 -0.890
Pd 0.000 0.000 0.000
```

=====

Entry 2:
This record from the Alexandria database describes a relaxed Mo2IrPd crystal. The functional is GGA-PBE. Values from VASP.

Output
Its energy relative to the lowest polymorph listed for this composition is 54 meV/atom. The calculation puts the formation energy from the elements at 1.3 eV per formula unit.

Structure (Quantum ESPRESSO input):
```
&SYSTEM
  ibrav = 0, nat = 4, ntyp = 3
/
ATOMIC_SPECIES
Mo 95.94 Mo.upf
Pd 106.42 Pd.upf
Ir 192.22 Ir.upf
CELL_PARAMETERS angstrom
2.434 -0.113 3.729
0.035 3.509 2.744
-2.011 -0.254 3.966
ATOMIC_POSITIONS angstrom
Mo 0.114 0.785 2.610
Mo 0.343 2.356 7.829
Pd 0.000 0.000 0.000
Ir 0.229 1.571 5.219
```